Record 1
{
  "formula": "Zn2FeTc",
  "functional": "PBEsol",
  "state": "relaxed",
  "e_above_lowest_polymorph_mev_per_atom": 162,
  "n_ef_per_ev_atom": 0.4949,
  "space_group": "I4/mmm, No. 139",
  "lattice": [[3.639, 0.000, 0.000], [0.000, 3.639, 0.000], [0.000, 0.000, 7.826]],
  "species": ["Zn", "Zn", "Zn", "Zn", "Fe", "Fe", "Tc", "Tc"],
  "fractional_positions": [[0.000, 0.500, 0.250], [0.000, 0.500, 0.750], [0.500, 0.000, 0.250], [0.500, 0.000, 0.750], [0.000, 0.000, 0.000], [0.500, 0.500, 0.500], [0.000, 0.000, 0.500], [0.500, 0.500, 0.000]]
}

=====

Record 2
{
  "formula": "KIn2Se",
  "functional": "PBEsol",
  "state": "relaxed",
  "e_form_raw_ev_per_atom": -0.453,
  "n_ef_per_ev_atom": 0.3329,
  "space_group": "Amm2, No. 38",
  "lattice": [[3.836, 0.000, 0.000], [0.000, 5.062, 0.000], [0.000, 0.000, 11.676]],
  "species": ["K", "K", "In", "In", "In", "In", "Se", "Se"],
  "fractional_positions": [[0.000, 0.000, 0.000], [0.000, 0.500, 0.500], [0.000, 0.000, 0.713], [0.000, 0.500, 0.213], [0.500, 0.000, 0.288], [0.500, 0.500, 0.788], [0.500, 0.000, 0.530], [0.500, 0.500, 0.030]]
}